# 1
# CrAsOs2, optimized geometry, DFT PBE
data_CrAsOs2
_cell_length_a 4.774
_cell_length_b 4.774
_cell_length_c 4.774
_cell_angle_alpha 133.49
_cell_angle_beta 133.49
_cell_angle_gamma 67.88
_space_group_name_H-M_alt 'P 1'
_space_group_IT_number 1
_space_group_name_Hall 'P 1'
loop_
_atom_site_label
_atom_site_fract_x
_atom_site_fract_y
_atom_site_fract_z
Cr1 0.000 0.000 0.000
As1 0.750 0.250 0.500
Os1 0.250 0.750 0.500
Os2 0.500 0.500 0.000
# Size of the total moment   2.04 μB per formula unit
# Volume   56.3 Å³/cell
# Raw total energy   -8.800 eV per atom

# 2
# CrAsOs2, optimized geometry, DFT PBE
data_CrAsOs2
_cell_length_a 6.644
_cell_length_b 6.644
_cell_length_c 6.644
_cell_angle_alpha 131.93
_cell_angle_beta 131.93
_cell_angle_gamma 70.34
_space_group_name_H-M_alt 'P 1'
_space_group_IT_number 1
_space_group_name_Hall 'P 1'
loop_
_atom_site_label
_atom_site_fract_x
_atom_site_fract_y
_atom_site_fract_z
Cr1 0.000 0.000 0.000
Cr2 0.750 0.250 0.500
As1 0.250 0.750 0.500
As2 0.500 0.500 0.000
Os1 0.109 0.625 0.984
Os2 0.375 0.359 0.484
Os3 0.641 0.125 0.016
Os4 0.875 0.891 0.516
# Size of the total moment   0.00 μB per formula unit
# Volume   159.1 Å³/cell
# Raw total energy   -8.306 eV per atom

# 3
# CrAsOs2, optimized geometry, DFT PBE
data_CrAsOs2
_cell_length_a 2.893
_cell_length_b 2.893
_cell_length_c 6.654
_cell_angle_alpha 90.00
_cell_angle_beta 90.00
_cell_angle_gamma 90.00
_space_group_name_H-M_alt 'P 1'
_space_group_IT_number 1
_space_group_name_Hall 'P 1'
loop_
_atom_site_label
_atom_site_fract_x
_atom_site_fract_y
_atom_site_fract_z
Cr1 0.000 0.000 0.000
As1 0.000 0.000 0.500
Os1 0.500 0.500 0.244
Os2 0.500 0.500 0.756
# Size of the total moment   0.00 μB per formula unit
# Volume   55.7 Å³/cell
# Raw total energy   -8.901 eV per atom

# 4
# Cr2AsOs, optimized geometry, DFT PBE
data_Cr2AsOs
_cell_length_a 6.591
_cell_length_b 6.591
_cell_length_c 6.591
_cell_angle_alpha 130.02
_cell_angle_beta 130.02
_cell_angle_gamma 73.38
_space_group_name_H-M_alt 'P 1'
_space_group_IT_number 1
_space_group_name_Hall 'P 1'
loop_
_atom_site_label
_atom_site_fract_x
_atom_site_fract_y
_atom_site_fract_z
Cr1 0.117 0.625 0.992
Cr2 0.375 0.367 0.492
Cr3 0.633 0.125 0.008
Cr4 0.875 0.883 0.508
As1 0.250 0.750 0.500
As2 0.500 0.500 0.000
Os1 0.000 0.000 0.000
Os2 0.750 0.250 0.500
# Size of the total moment   3.46 μB per formula unit
# Volume   163.9 Å³/cell
# Raw total energy   -7.863 eV per atom

# 5
# CrAsOs2, optimized geometry, DFT PBE
data_CrAsOs2
_cell_length_a 8.453
_cell_length_b 8.453
_cell_length_c 8.453
_cell_angle_alpha 18.97
_cell_angle_beta 18.97
_cell_angle_gamma 18.97
_space_group_name_H-M_alt 'P 1'
_space_group_IT_number 1
_space_group_name_Hall 'P 1'
loop_
_atom_site_label
_atom_site_fract_x
_atom_site_fract_y
_atom_site_fract_z
Cr1 0.000 0.000 0.000
As1 0.745 0.745 0.745
Os1 0.251 0.251 0.251
Os2 0.496 0.496 0.496
# Size of the total moment   0.00 μB per formula unit
# Volume   55.7 Å³/cell
# Raw total energy   -8.913 eV per atom

# 6
# Cr2AsOs, optimized geometry, DFT PBE
data_Cr2AsOs
_cell_length_a 4.906
_cell_length_b 4.906
_cell_length_c 4.906
_cell_angle_alpha 145.00
_cell_angle_beta 129.15
_cell_angle_gamma 63.22
_space_group_name_H-M_alt 'P 1'
_space_group_IT_number 1
_space_group_name_Hall 'P 1'
loop_
_atom_site_label
_atom_site_fract_x
_atom_site_fract_y
_atom_site_fract_z
Cr1 0.235 0.235 0.000
Cr2 0.765 0.765 0.000
As1 0.000 0.500 0.500
Os1 0.500 0.000 0.500
# Size of the total moment   0.00 μB per formula unit
# Volume   51.9 Å³/cell
# Raw total energy   -8.618 eV per atom

# 7
# CrAs2Os, optimized geometry, DFT PBE
data_CrAs2Os
_cell_length_a 4.449
_cell_length_b 4.449
_cell_length_c 4.872
_cell_angle_alpha 105.77
_cell_angle_beta 105.77
_cell_angle_gamma 40.28
_space_group_name_H-M_alt 'P 1'
_space_group_IT_number 1
_space_group_name_Hall 'P 1'
loop_
_atom_site_label
_atom_site_fract_x
_atom_site_fract_y
_atom_site_fract_z
Cr1 0.000 0.000 0.000
As1 0.278 0.278 0.997
As2 0.513 0.513 0.593
Os1 0.762 0.762 0.399
# Size of the total moment   0.00 μB per formula unit
# Volume   59.7 Å³/cell
# Energy above the lowest structure with this stoichiometry   0.16 eV/f.u.

# 8
# CrAsOs2, optimized geometry, DFT PBE
data_CrAsOs2
_cell_length_a 2.782
_cell_length_b 2.782
_cell_length_c 8.542
_cell_angle_alpha 90.00
_cell_angle_beta 90.00
_cell_angle_gamma 118.54
_space_group_name_H-M_alt 'P 1'
_space_group_IT_number 1
_space_group_name_Hall 'P 1'
loop_
_atom_site_label
_atom_site_fract_x
_atom_site_fract_y
_atom_site_fract_z
Cr1 0.000 0.000 0.000
As1 0.500 0.500 0.237
Os1 0.000 0.000 0.487
Os2 0.500 0.500 0.758
# Size of the total moment   1.14 μB per formula unit
# Volume   58.1 Å³/cell
# Raw total energy   -8.558 eV per atom

# 9
# CrAsOs2, optimized geometry, DFT PBE
data_CrAsOs2
_cell_length_a 4.313
_cell_length_b 4.313
_cell_length_c 4.313
_cell_angle_alpha 60.00
_cell_angle_beta 60.00
_cell_angle_gamma 60.00
_space_group_name_H-M_alt 'P 1'
_space_group_IT_number 1
_space_group_name_Hall 'P 1'
loop_
_atom_site_label
_atom_site_fract_x
_atom_site_fract_y
_atom_site_fract_z
Cr1 0.000 0.000 0.000
As1 0.250 0.250 0.250
Os1 0.500 0.500 0.500
Os2 0.750 0.750 0.750
# Size of the total moment   0.00 μB per formula unit
# Volume   56.7 Å³/cell
# Raw total energy   -8.677 eV per atom

# 10
# CrAs2Os, optimized geometry, DFT PBE
data_CrAs2Os
_cell_length_a 6.913
_cell_length_b 6.913
_cell_length_c 6.913
_cell_angle_alpha 133.11
_cell_angle_beta 133.11
_cell_angle_gamma 68.48
_space_group_name_H-M_alt 'P 1'
_space_group_IT_number 1
_space_group_name_Hall 'P 1'
loop_
_atom_site_label
_atom_site_fract_x
_atom_site_fract_y
_atom_site_fract_z
Cr1 0.000 0.000 0.000
Cr2 0.750 0.250 0.500
As1 0.137 0.625 0.012
As2 0.375 0.387 0.512
As3 0.613 0.125 0.988
As4 0.875 0.863 0.488
Os1 0.250 0.750 0.500
Os2 0.500 0.500 0.000
# Size of the total moment   2.95 μB per formula unit
# Volume   172.9 Å³/cell
# Energy above the lowest structure with this stoichiometry   1.45 eV/f.u.

# 11
# Cr2AsOs, optimized geometry, DFT PBE
data_Cr2AsOs
_cell_length_a 4.229
_cell_length_b 4.229
_cell_length_c 4.229
_cell_angle_alpha 60.00
_cell_angle_beta 60.00
_cell_angle_gamma 60.00
_space_group_name_H-M_alt 'P 1'
_space_group_IT_number 1
_space_group_name_Hall 'P 1'
loop_
_atom_site_label
_atom_site_fract_x
_atom_site_fract_y
_atom_site_fract_z
Cr1 0.000 0.000 0.000
Cr2 0.250 0.250 0.250
As1 0.500 0.500 0.500
Os1 0.750 0.750 0.750
# Size of the total moment   0.96 μB per formula unit
# Volume   53.5 Å³/cell
# Raw total energy   -8.618 eV per atom

# 12
# Cr2AsOs, optimized geometry, DFT PBE
data_Cr2AsOs
_cell_length_a 4.187
_cell_length_b 3.019
_cell_length_c 4.266
_cell_angle_alpha 90.00
_cell_angle_beta 90.09
_cell_angle_gamma 90.00
_space_group_name_H-M_alt 'P 1'
_space_group_IT_number 1
_space_group_name_Hall 'P 1'
loop_
_atom_site_label
_atom_site_fract_x
_atom_site_fract_y
_atom_site_fract_z
Cr1 0.000 0.000 0.000
Cr2 0.500 0.500 0.000
As1 0.000 0.500 0.500
Os1 0.500 0.000 0.500
# Size of the total moment   0.84 μB per formula unit
# Volume   53.9 Å³/cell
# Raw total energy   -8.603 eV per atom

# 13
# CrAsOs2, optimized geometry, DFT PBE
data_CrAsOs2
_cell_length_a 5.068
_cell_length_b 5.068
_cell_length_c 5.068
_cell_angle_alpha 146.56
_cell_angle_beta 129.26
_cell_angle_gamma 62.14
_space_group_name_H-M_alt 'P 1'
_space_group_IT_number 1
_space_group_name_Hall 'P 1'
loop_
_atom_site_label
_atom_site_fract_x
_atom_site_fract_y
_atom_site_fract_z
Cr1 0.000 0.000 0.000
As1 0.220 0.720 0.500
Os1 0.450 0.450 0.000
Os2 0.727 0.227 0.500
# Size of the total moment   0.08 μB per formula unit
# Volume   55.0 Å³/cell
# Raw total energy   -8.901 eV per atom

# 14
# CrAsOs2, optimized geometry, DFT PBE
data_CrAsOs2
_cell_length_a 8.555
_cell_length_b 8.555
_cell_length_c 8.555
_cell_angle_alpha 18.78
_cell_angle_beta 18.78
_cell_angle_gamma 18.78
_space_group_name_H-M_alt 'P 1'
_space_group_IT_number 1
_space_group_name_Hall 'P 1'
loop_
_atom_site_label
_atom_site_fract_x
_atom_site_fract_y
_atom_site_fract_z
Cr1 0.000 0.000 0.000
As1 0.500 0.500 0.500
Os1 0.253 0.253 0.253
Os2 0.747 0.747 0.747
# Size of the total moment   0.00 μB per formula unit
# Volume   56.7 Å³/cell
# Raw total energy   -8.866 eV per atom

# 15
# CrAsOs3, optimized geometry, DFT PBE
data_CrAsOs3
_cell_length_a 4.473
_cell_length_b 4.473
_cell_length_c 4.473
_cell_angle_alpha 90.00
_cell_angle_beta 90.00
_cell_angle_gamma 90.00
_space_group_name_H-M_alt 'P 1'
_space_group_IT_number 1
_space_group_name_Hall 'P 1'
loop_
_atom_site_label
_atom_site_fract_x
_atom_site_fract_y
_atom_site_fract_z
Cr1 0.000 0.000 0.000
As1 0.500 0.500 0.500
Os1 0.000 0.500 0.500
Os2 0.500 0.000 0.500
Os3 0.500 0.500 0.000
# Size of the total moment   0.12 μB per formula unit
# Volume   89.5 Å³/cell
# Energy above the lowest structure with this stoichiometry   0.83 eV/f.u.

# 16
# CrAsOs2Pd, optimized geometry, DFT PBE
data_CrAsOs2Pd
_cell_length_a 4.469
_cell_length_b 4.469
_cell_length_c 4.444
_cell_angle_alpha 90.00
_cell_angle_beta 90.00
_cell_angle_gamma 90.00
_space_group_name_H-M_alt 'P 1'
_space_group_IT_number 1
_space_group_name_Hall 'P 1'
loop_
_atom_site_label
_atom_site_fract_x
_atom_site_fract_y
_atom_site_fract_z
Cr1 0.000 0.000 0.000
As1 0.000 0.000 0.500
Os1 0.000 0.500 0.000
Os2 0.500 0.000 0.000
Pd1 0.500 0.500 0.500
# Size of the total moment   0.49 μB per formula unit
# Volume   88.7 Å³/cell
# Raw total energy   -6.998 eV per atom

# 17
# CrSiAs2Os, optimized geometry, DFT PBE
data_CrSiAs2Os
_cell_length_a 4.693
_cell_length_b 4.693
_cell_length_c 4.753
_cell_angle_alpha 90.00
_cell_angle_beta 90.00
_cell_angle_gamma 90.00
_space_group_name_H-M_alt 'P 1'
_space_group_IT_number 1
_space_group_name_Hall 'P 1'
loop_
_atom_site_label
_atom_site_fract_x
_atom_site_fract_y
_atom_site_fract_z
Cr1 0.000 0.000 0.000
Si1 0.500 0.500 0.000
As1 0.000 0.500 0.500
As2 0.500 0.000 0.500
Os1 0.000 0.000 0.500
# Size of the total moment   0.03 μB per formula unit
# Volume   104.7 Å³/cell
# Formation energy (no corrections)   1.227 eV per atom

# 18
# CrTcAsOs, optimized geometry, DFT PBE
data_CrTcAsOs
_cell_length_a 4.287
_cell_length_b 4.287
_cell_length_c 4.287
_cell_angle_alpha 60.00
_cell_angle_beta 60.00
_cell_angle_gamma 60.00
_space_group_name_H-M_alt 'P 1'
_space_group_IT_number 1
_space_group_name_Hall 'P 1'
loop_
_atom_site_label
_atom_site_fract_x
_atom_site_fract_y
_atom_site_fract_z
Cr1 0.000 0.000 0.000
Tc1 0.750 0.750 0.750
As1 0.500 0.500 0.500
Os1 0.250 0.250 0.250
# Size of the total moment   1.90 μB per formula unit
# Volume   55.7 Å³/cell
# Raw total energy   -8.905 eV per atom

# 19
# Cr2AsP, optimized geometry, DFT PBE
data_Cr2AsP
_cell_length_a 6.801
_cell_length_b 6.801
_cell_length_c 6.801
_cell_angle_alpha 132.37
_cell_angle_beta 132.37
_cell_angle_gamma 69.64
_space_group_name_H-M_alt 'P 1'
_space_group_IT_number 1
_space_group_name_Hall 'P 1'
loop_
_atom_site_label
_atom_site_fract_x
_atom_site_fract_y
_atom_site_fract_z
Cr1 0.107 0.625 0.982
Cr2 0.375 0.357 0.482
Cr3 0.643 0.125 0.018
Cr4 0.875 0.893 0.518
As1 0.250 0.750 0.500
As2 0.500 0.500 0.000
P1 0.000 0.000 0.000
P2 0.750 0.250 0.500
# Size of the total moment   6.00 μB per formula unit
# Volume   168.4 Å³/cell
# Raw total energy   -7.184 eV per atom

# 20
# CrAsP2, optimized geometry, DFT PBE
data_CrAsP2
_cell_length_a 3.642
_cell_length_b 4.389
_cell_length_c 4.046
_cell_angle_alpha 90.00
_cell_angle_beta 98.87
_cell_angle_gamma 90.00
_space_group_name_H-M_alt 'P 1'
_space_group_IT_number 1
_space_group_name_Hall 'P 1'
loop_
_atom_site_label
_atom_site_fract_x
_atom_site_fract_y
_atom_site_fract_z
Cr1 0.000 0.000 0.000
As1 0.500 0.000 0.500
P1 0.226 0.500 0.826
P2 0.774 0.500 0.174
# Size of the total moment   2.31 μB per formula unit
# Volume   63.9 Å³/cell
# Raw total energy   -6.116 eV per atom